Model P:
## SrRuO4 (GGA-PBE)

Data for a relaxed structure of SrRuO4.

Output
Total magnetic moment (μB per formula unit): 0.72
DOS at the Fermi energy (states/eV/cell): 8.4

Cell: 5.496 5.107 7.166 Å, 110.87 121.45 90.00°
Site moments in Bohr magnetons follow the coordinates.
Sites, in units of the cell vectors:
Sr 0.250 0.207 0.000  0.01
Sr 0.750 0.793 0.000  0.01
O 0.764 0.502 0.206  0.09
O 0.800 0.772 0.630  0.01
O 0.200 0.228 0.370  0.01
O 0.700 0.141 0.370  0.01
O 0.264 0.704 0.206  0.09
O 0.736 0.296 0.794  0.09
O 0.300 0.859 0.630  0.01
O 0.236 0.498 0.794  0.09
Ru 0.000 0.500 0.500  0.45
Ru 0.500 0.000 0.500  0.45

=====

Model Q:
## SrRuO4 (GGA-PBE)

Data for a relaxed structure of SrRuO4.

Output
Total magnetic moment (μB per formula unit): 2.00
DOS at the Fermi energy (states/eV/cell): 5.2

Cell: 6.480 6.480 6.480 Å, 106.12 106.12 116.40°
Site moments in Bohr magnetons follow the coordinates.
Sites, in units of the cell vectors:
O 0.084 0.405 0.321  0.18
O 0.595 0.916 0.679  0.18
O 0.666 0.486 0.821  0.18
O 0.666 0.845 0.179  0.18
O 0.236 0.916 0.321  0.18
O 0.084 0.764 0.679  0.18
O 0.155 0.334 0.821  0.18
O 0.514 0.334 0.179  0.18
Ru 0.250 0.750 0.500  1.05
Ru 0.500 0.500 0.000  1.05
Sr 0.000 0.000 0.000  0.01
Sr 0.750 0.250 0.500  0.01

=====

model Q comes first in stability; the runner-up is 117 meV/atom higher.

=====

Model P:
## Sr2RuO2 (GGA-PBE)

Data for a relaxed structure of Sr2RuO2.

Output
Total magnetic moment (μB per formula unit): 0.49
DOS at the Fermi energy (states/eV/cell): 4.5

Cell: 6.786 6.786 3.464 Å, 90.00 90.00 90.00°
Site moments in Bohr magnetons follow the coordinates.
Sites, in units of the cell vectors:
Sr 0.343 0.157 0.500  0.00
Sr 0.843 0.343 0.500  -0.01
Sr 0.157 0.657 0.500  -0.01
Sr 0.657 0.843 0.500  0.00
Ru 0.500 0.500 0.000  0.48
Ru 0.000 0.000 0.000  0.46
O 0.662 0.162 0.000  0.01
O 0.338 0.838 0.000  0.01
O 0.838 0.662 0.000  0.00
O 0.162 0.338 0.000  0.00

=====

Model Q:
## Sr2RuO2 (GGA-PBE)

Data for a relaxed structure of Sr2RuO2.

Output
Total magnetic moment (μB per formula unit): 2.07

Cell: 5.109 5.109 5.702 Å, 63.39 63.39 90.00°
Site moments in Bohr magnetons follow the coordinates.
Sites, in units of the cell vectors:
Sr 0.250 0.750 0.500  0.00
Sr 0.750 0.250 0.500  0.00
O 0.221 0.221 0.557  0.16
O 0.779 0.779 0.443  0.16
Ru 0.000 0.000 0.000  1.65

=====

model Q comes first in stability; the runner-up is 304 meV/atom higher.

=====

Model P:
## TaRu3O (GGA-PBE)

Data for a relaxed structure of TaRu3O.

Output
Total magnetic moment (μB per formula unit): 0.00
DOS at the Fermi energy (states/eV/cell): 3.5

Cell: 4.077 4.077 4.077 Å, 90.00 90.00 90.00°
Sites, in units of the cell vectors:
Ru 0.000 0.000 0.500
Ru 0.500 0.000 0.000
Ru 0.000 0.500 0.000
Ta 0.500 0.500 0.500
O 0.000 0.000 0.000

=====

Model Q:
## TaRu3O (GGA-PBE)

Data for a relaxed structure of TaRu3O.

Output
Total magnetic moment (μB per formula unit): 5.29
DOS at the Fermi energy (states/eV/cell): 4.6

Cell: 4.765 4.765 4.765 Å, 90.00 90.00 90.00°
Site moments in Bohr magnetons follow the coordinates.
Sites, in units of the cell vectors:
Ru 0.000 0.000 0.500  1.44
Ru 0.500 0.000 0.000  1.33
Ru 0.000 0.500 0.000  1.57
O 0.500 0.500 0.500  1.03
Ta 0.000 0.000 0.000  -0.30

=====

model P comes first in stability; the runner-up is 2089 meV/atom higher.

=====

Model P:
## Tb3RuO7 (GGA-PBE)

Data for a relaxed structure of Tb3RuO7.

Output
Total magnetic moment (μB per formula unit): 3.00
DOS at the Fermi energy (states/eV/cell): 1.1

Cell: 6.484 6.484 7.438 Å, 90.00 90.00 108.75°
Site moments in Bohr magnetons follow the coordinates.
Sites, in units of the cell vectors:
O 0.692 0.943 0.538  0.19
O 0.325 0.080 0.475  0.11
O 0.638 0.362 0.250  0.02
O 0.080 0.325 0.525  0.11
O 0.308 0.057 0.038  0.19
O 0.630 0.370 0.750  0.01
O 0.930 0.070 0.250  0.09
O 0.070 0.930 0.750  0.09
O 0.943 0.692 0.462  0.19
O 0.057 0.308 0.962  0.19
O 0.370 0.630 0.250  0.01
O 0.920 0.675 0.025  0.11
O 0.362 0.638 0.750  0.02
O 0.675 0.920 0.975  0.11
Tb 0.537 0.999 0.257  0.05
Tb 0.469 0.469 0.500  0.02
Tb 0.999 0.537 0.743  0.05
Tb 0.531 0.531 0.000  0.02
Tb 0.463 0.001 0.757  0.05
Tb 0.001 0.463 0.243  0.05
Ru 0.000 0.000 0.000  1.97
Ru 0.000 0.000 0.500  1.97

=====

Model Q:
## Tb3RuO7 (GGA-PBE)

Data for a relaxed structure of Tb3RuO7.

Output
Total magnetic moment (μB per formula unit): 3.01
DOS at the Fermi energy (states/eV/cell): 0.8

Cell: 6.434 6.434 7.434 Å, 90.00 90.00 110.44°
Site moments in Bohr magnetons follow the coordinates.
Sites, in units of the cell vectors:
Tb 0.000 0.000 0.500  0.02
Tb 0.521 0.073 0.250  0.04
Tb 0.927 0.479 0.750  0.04
Tb 0.073 0.521 0.250  0.04
Tb 0.000 0.000 0.000  0.02
Tb 0.479 0.927 0.750  0.04
O 0.181 0.437 0.962  0.15
O 0.181 0.437 0.538  0.15
O 0.890 0.156 0.250  0.02
O 0.437 0.181 0.538  0.15
O 0.437 0.181 0.962  0.15
O 0.844 0.110 0.750  0.02
O 0.563 0.819 0.462  0.15
O 0.411 0.411 0.250  0.12
O 0.589 0.589 0.750  0.12
O 0.156 0.890 0.250  0.02
O 0.819 0.563 0.038  0.15
O 0.563 0.819 0.038  0.15
O 0.819 0.563 0.462  0.15
O 0.110 0.844 0.750  0.02
Ru 0.500 0.500 0.000  1.95
Ru 0.500 0.500 0.500  1.95

=====

model P comes first in stability; the runner-up is 8 meV/atom higher.

=====

Model P:
## TcRu3O (GGA-PBE)

Data for a relaxed structure of TcRu3O.

Output
Total magnetic moment (μB per formula unit): 1.72
DOS at the Fermi energy (states/eV/cell): 6.4

Cell: 4.044 4.044 4.044 Å, 90.00 90.00 90.00°
Site moments in Bohr magnetons follow the coordinates.
Sites, in units of the cell vectors:
O 0.000 0.000 0.000  0.01
Tc 0.500 0.500 0.500  1.28
Ru 0.000 0.500 0.000  0.07
Ru 0.500 0.000 0.000  0.07
Ru 0.000 0.000 0.500  0.17

=====

Model Q:
## TcRu3O (GGA-PBE)

Data for a relaxed structure of TcRu3O.

Output
Total magnetic moment (μB per formula unit): 4.93
DOS at the Fermi energy (states/eV/cell): 4.6

Cell: 4.656 4.656 4.656 Å, 90.00 90.00 90.00°
Site moments in Bohr magnetons follow the coordinates.
Sites, in units of the cell vectors:
Tc 0.000 0.000 0.000  -0.15
Ru 0.500 0.000 0.000  1.14
Ru 0.000 0.500 0.000  1.37
Ru 0.000 0.000 0.500  1.27
O 0.500 0.500 0.500  1.00

=====

model P comes first in stability; the runner-up is 1733 meV/atom higher.

=====

Model P:
## TeRuO4 (GGA-PBE)

Data for a relaxed structure of TeRuO4.

Output
Total magnetic moment (μB per formula unit): 0.61
DOS at the Fermi energy (states/eV/cell): 7.3

Cell: 4.818 5.744 5.738 Å, 110.47 90.00 90.00°
Site moments in Bohr magnetons follow the coordinates.
Sites, in units of the cell vectors:
Te 0.000 0.000 0.000  0.00
Te 0.500 0.500 0.000  0.00
O 0.329 0.862 0.156  0.02
O 0.793 0.168 0.364  0.05
O 0.171 0.362 0.156  0.02
O 0.671 0.138 0.844  0.02
O 0.293 0.332 0.636  0.05
O 0.829 0.638 0.844  0.02
O 0.207 0.832 0.636  0.05
O 0.707 0.668 0.364  0.05
Ru 0.000 0.500 0.500  0.43
Ru 0.500 0.000 0.500  0.43

=====

Model Q:
## TeRuO4 (GGA-PBE)

Data for a relaxed structure of TeRuO4.

Output
Total magnetic moment (μB per formula unit): 0.00
DOS at the Fermi energy (states/eV/cell): 6.8

Cell: 5.778 5.778 5.778 Å, 68.63 71.47 108.53°
Sites, in units of the cell vectors:
Ru 0.500 0.994 0.506
Ru 0.000 0.744 0.256
O 0.203 0.716 0.487
O 0.297 0.763 0.940
O 0.703 0.763 0.534
O 0.689 0.241 0.070
O 0.311 0.241 0.448
O 0.189 0.180 0.009
O 0.811 0.802 0.009
O 0.797 0.310 0.487
Te 0.500 0.498 0.002
Te 0.000 0.248 0.752

=====

model Q comes first in stability; the runner-up is 12 meV/atom higher.

=====

Model P:
## TeRu2O (GGA-PBE)

Data for a relaxed structure of TeRu2O.

Output
Total magnetic moment (μB per formula unit): 0.00
DOS at the Fermi energy (states/eV/cell): 3.4

Cell: 4.314 4.314 4.314 Å, 60.00 60.00 60.00°
Sites, in units of the cell vectors:
Ru 0.250 0.250 0.250
Ru 0.750 0.750 0.750
Te 0.500 0.500 0.500
O 0.000 0.000 0.000

=====

Model Q:
## TeRu2O (GGA-PBE)

Data for a relaxed structure of TeRu2O.

Output
Total magnetic moment (μB per formula unit): 0.00
DOS at the Fermi energy (states/eV/cell): 5.8

Cell: 4.598 4.598 7.263 Å, 71.55 71.55 90.00°
Sites, in units of the cell vectors:
Ru 0.253 0.625 0.250
Ru 0.497 0.125 0.250
Ru 0.875 0.747 0.750
Ru 0.375 0.503 0.750
Te 0.750 0.250 0.500
Te 0.000 0.000 0.000
O 0.500 0.500 0.000
O 0.250 0.750 0.500

=====

model Q comes first in stability; the runner-up is 338 meV/atom higher.

=====

Model P:
## TeRu3O (GGA-PBE)

Data for a relaxed structure of TeRu3O.

Output
Total magnetic moment (μB per formula unit): 5.67
DOS at the Fermi energy (states/eV/cell): 4.8

Cell: 4.870 4.870 4.870 Å, 90.00 90.00 90.00°
Site moments in Bohr magnetons follow the coordinates.
Sites, in units of the cell vectors:
O 0.500 0.500 0.500  1.05
Ru 0.000 0.500 0.000  1.48
Ru 0.000 0.000 0.500  1.44
Ru 0.500 0.000 0.000  1.47
Te 0.000 0.000 0.000  -0.07

=====

Model Q:
## TeRu3O (GGA-PBE)

Data for a relaxed structure of TeRu3O.

Output
Total magnetic moment (μB per formula unit): 0.00
DOS at the Fermi energy (states/eV/cell): 5.0

Cell: 4.181 4.181 4.181 Å, 90.00 90.00 90.00°
Sites, in units of the cell vectors:
Te 0.500 0.500 0.500
Ru 0.000 0.500 0.000
Ru 0.000 0.000 0.500
Ru 0.500 0.000 0.000
O 0.000 0.000 0.000

=====

model Q comes first in stability; the runner-up is 1633 meV/atom higher.

=====

Model P:
## Tl2RuO4 (GGA-PBE)

Data for a relaxed structure of Tl2RuO4.

Output
Total magnetic moment (μB per formula unit): 1.48
DOS at the Fermi energy (states/eV/cell): 1.6

Cell: 3.888 3.888 7.956 Å, 75.86 75.86 90.00°
Site moments in Bohr magnetons follow the coordinates.
Sites, in units of the cell vectors:
O 0.872 0.872 0.256  0.13
O 0.500 0.000 0.000  0.09
O 0.000 0.500 0.000  0.09
O 0.128 0.128 0.744  0.13
Ru 0.000 0.000 0.000  0.88
Tl 0.655 0.655 0.690  0.00
Tl 0.345 0.345 0.310  0.00

=====

Model Q:
## Tl2RuO4 (GGA-PBE)

Data for a relaxed structure of Tl2RuO4.

Output
Total magnetic moment (μB per formula unit): 1.87
DOS at the Fermi energy (states/eV/cell): 1.4

Cell: 6.549 6.549 6.378 Å, 120.94 120.84 90.00°
Site moments in Bohr magnetons follow the coordinates.
Sites, in units of the cell vectors:
O 0.955 0.277 0.232  0.15
O 0.045 0.046 0.769  0.15
O 0.723 0.724 0.769  0.15
O 0.276 0.954 0.230  0.15
Tl 0.250 0.750 0.500  0.02
Tl 0.750 0.250 0.500  0.02
Ru 0.000 0.000 0.000  0.98

=====

Model R:
## Tl2RuO4 (GGA-PBE)

Data for a relaxed structure of Tl2RuO4.

Output
Total magnetic moment (μB per formula unit): 2.03
DOS at the Fermi energy (states/eV/cell): 1.8

Cell: 6.245 6.171 8.731 Å, 90.00 112.59 90.00°
Site moments in Bohr magnetons follow the coordinates.
Sites, in units of the cell vectors:
O 0.847 0.250 0.013  0.19
O 0.234 0.994 0.735  0.16
O 0.153 0.750 0.987  0.19
O 0.766 0.006 0.265  0.16
O 0.788 0.750 0.667  0.16
O 0.234 0.506 0.735  0.16
O 0.212 0.250 0.333  0.16
O 0.766 0.494 0.265  0.16
Tl 0.730 0.750 0.986  0.04
Tl 0.502 0.250 0.650  0.01
Tl 0.498 0.750 0.350  0.01
Tl 0.270 0.250 0.014  0.04
Ru 0.901 0.250 0.235  1.06
Ru 0.099 0.750 0.765  1.06

=====

model R comes first in stability; the runner-up is 6 meV/atom higher.

=====

Model P:
## TlRuO2 (GGA-PBE)

Data for a relaxed structure of TlRuO2.

Output
Total magnetic moment (μB per formula unit): 0.00
DOS at the Fermi energy (states/eV/cell): 2.5

Cell: 7.793 7.793 7.793 Å, 23.21 23.21 23.21°
Sites, in units of the cell vectors:
Tl 0.500 0.500 0.500
O 0.077 0.077 0.077
O 0.923 0.923 0.923
Ru 0.000 0.000 0.000

=====

Model Q:
## TlRuO2 (GGA-PBE)

Data for a relaxed structure of TlRuO2.

Output
Total magnetic moment (μB per formula unit): 0.00
DOS at the Fermi energy (states/eV/cell): 3.1

Cell: 2.777 2.777 7.101 Å, 90.00 90.00 90.00°
Sites, in units of the cell vectors:
Tl 0.500 0.500 0.500
O 0.000 0.000 0.838
O 0.000 0.000 0.162
Ru 0.500 0.500 0.000

=====

Model R:
## TlRuO2 (GGA-PBE)

Data for a relaxed structure of TlRuO2.

Output
Total magnetic moment (μB per formula unit): 0.00
DOS at the Fermi energy (states/eV/cell): 2.5

Cell: 4.135 4.135 4.135 Å, 60.00 60.00 60.00°
Sites, in units of the cell vectors:
Tl 0.500 0.500 0.500
Ru 0.000 0.000 0.000
O 0.750 0.750 0.750
O 0.250 0.250 0.250

=====

model P comes first in stability; the runner-up is 267 meV/atom higher.